VASP calculation (GGA-PBE) on a relaxed BeTlIr2 crystal.

## Properties
offset from the most stable computed form: 0.155 eV per atom
ΔH_f (0 K): 1.163 eV/f.u.
crystal system: orthorhombic
space-group type: Cmmm

a b c (Å): 2.853 2.853 8.618
angles (deg): 90.00 90.00 117.45
Atoms (fractional coordinates):
Be: 0.500 0.500 0.750
Tl: 0.500 0.500 0.250
Ir: 0.000 0.000 0.948
Ir: 0.000 0.000 0.552

VASP calculation (GGA-PBE) on a relaxed ErInPt crystal.

## Properties
ΔH_f (0 K): -2.301 eV/f.u.
crystal system: tetragonal
space-group type: I4mm

a b c (Å): 3.395 3.395 6.150
angles (deg): 106.02 106.02 90.00
Atoms (fractional coordinates):
Er: 0.931 0.931 0.861
Pt: 0.284 0.284 0.568
In: 0.635 0.635 0.270

VASP calculation (GGA-PBE) on a relaxed Pr4Ag2HgPd crystal.

## Properties
ΔH_f (0 K): -3.347 eV/f.u.
crystal system: trigonal
space-group type: R-3m

a b c (Å): 5.340 5.340 9.191
angles (deg): 73.11 73.11 60.00
Atoms (fractional coordinates):
Pr: 0.381 0.381 0.858
Pr: 0.870 0.870 0.389
Pr: 0.130 0.130 0.611
Pr: 0.619 0.619 0.142
Ag: 0.744 0.744 0.767
Ag: 0.256 0.256 0.233
Hg: 0.000 0.000 0.000
Pd: 0.500 0.500 0.500

VASP calculation (GGA-PBE) on a relaxed Mo4Rh5W crystal.

## Properties
ΔH_f (0 K): -1.725 eV/f.u.
crystal system: tetragonal
space-group type: P4/mmm

a b c (Å): 2.752 2.752 19.656
angles (deg): 90.00 90.00 90.00
Atoms (fractional coordinates):
Mo: 0.000 0.000 0.200
Mo: 0.000 0.000 0.400
Mo: 0.000 0.000 0.600
Mo: 0.000 0.000 0.800
Rh: 0.500 0.500 0.099
Rh: 0.500 0.500 0.300
Rh: 0.500 0.500 0.500
Rh: 0.500 0.500 0.700
Rh: 0.500 0.500 0.901
W: 0.000 0.000 0.000

| no. | ρ (g cm⁻³) |
| --- | --- |
| 1 | 15.945 |
| 2 | 12.141 |
| 3 | 8.437 |
| 4 | 12.072 |